No. 1
A relaxed NaNiIr2O8 crystal. Source: Alexandria via LeMat-Bulk, functional GGA+U.

Cell: 5.5304 5.5304 5.9690 Å, 90.00 90.00 120.00°
Closest atoms and distances in Å follow each position.
Space group P-3 (No. 147)
One atom of each set of equivalent atoms:
Na  0.0000  0.0000  0.0000 (multiplicity 1)  6 O 2.85, 2 Ni 2.98
Ni  0.0000  0.0000  0.5000 (multiplicity 1)  6 O 2.07
Ir  0.3333  0.6667  0.4522 (multiplicity 2)  4 O 1.79-1.94
O  0.0644  0.3689  0.6414 (multiplicity 6)  1 Ir 1.94, 1 Ni 2.07
O  0.3333  0.6667  0.1519 (multiplicity 2)  1 Ir 1.79

Calculated values
**Mass density**: 6.2 g/cm³
**Uncorrected energy**: -68.491 eV per cell
**Total moment**: 0.096 μB per atom


No. 2
A relaxed Na2NiIrO4 crystal. Source: Alexandria via LeMat-Bulk, functional GGA+U.

Cell: 5.3746 3.1559 5.5498 Å, 90.00 109.39 90.00°
Closest atoms and distances in Å follow each position.
Space group P2/m (No. 10)
One atom of each set of equivalent atoms:
Na  0.0000  0.0000  0.0000 (multiplicity 1)  6 O 2.41-2.44
Na  0.5000  0.5000  0.0000 (multiplicity 1)  6 O 2.35-2.39
Ni  0.0000  0.5000  0.5000 (multiplicity 1)  6 O 2.11-2.14
Ir  0.5000  0.0000  0.5000 (multiplicity 1)  6 O 2.03-2.07
O  0.2418  0.0000  0.6971 (multiplicity 2)  1 Ir 2.03, 2 Ni 2.11
O  0.2769  0.5000  0.2988 (multiplicity 2)  2 Ir 2.07, 1 Ni 2.14

Calculated values
**Mass density**: 6.7 g/cm³
**Uncorrected energy**: -43.304 eV per cell
**Total moment**: 0.128 μB per atom